Entry 1:
# Pr6Si2SeCl3, optimized geometry, DFT PBE-GGA
# - Energy relative to the elements, uncorrected: -1.363 eV per atom
# - Total moment: 0.00 μB per formula unit
data_Pr6Si2SeCl3
_symmetry_space_group_name_H-M 'C 1 2/m 1'
_symmetry_Int_Tables_number 12
_cell_length_a 7.3835
_cell_length_b 12.8172
_cell_length_c 7.3974
_cell_angle_alpha 90.00
_cell_angle_beta 109.43
_cell_angle_gamma 90.00
loop_
_symmetry_equiv_pos_as_xyz
'x,y,z'
'-x,-y,-z'
'-x,y,-z'
'x,-y,z'
'x+1/2,y+1/2,z'
'-x+1/2,-y+1/2,-z'
'-x+1/2,y+1/2,-z'
'x+1/2,-y+1/2,z'
loop_
_atom_site_label
_atom_site_fract_x
_atom_site_fract_y
_atom_site_fract_z
Pr1 0.2310 0.0000 0.2257
Pr2 0.2468 0.3276 0.2255
Si1 0.0000 0.1664 0.0000
Se1 0.0000 0.5000 0.0000
Cl1 0.0000 0.0000 0.5000
Cl2 0.0000 0.3318 0.5000


Entry 2:
# ZrSc5Ir4, optimized geometry, DFT PBE-GGA
# - ΔH_f (0 K): -0.819 eV per atom
# - Total moment: 0.00 μB per formula unit
data_ZrSc5Ir4
_symmetry_space_group_name_H-M 'P 4/m m m'
_symmetry_Int_Tables_number 123
_symmetry_space_group_name_Hall '-P 4 2'
_cell_length_a 3.1912
_cell_length_b 3.1912
_cell_length_c 17.7758
_cell_angle_alpha 90.00
_cell_angle_beta 90.00
_cell_angle_gamma 90.00
loop_
_atom_site_label
_atom_site_fract_x
_atom_site_fract_y
_atom_site_fract_z
Zr1 0.0000 0.0000 0.0000
Sc1 0.5000 0.5000 0.1289
Sc2 0.5000 0.5000 0.3137
Sc3 0.5000 0.5000 0.5000
Ir1 0.0000 0.0000 0.2203
Ir2 0.0000 0.0000 0.4068


Entry 3:
# V3SnH, optimized geometry, DFT PBE-GGA
# - Total DFT energy (no corrections): -134.36 eV for the cell shown
# - Total moment: 0.00 μB per formula unit
data_V3SnH
_symmetry_space_group_name_H-M 'I -4 m 2'
_symmetry_Int_Tables_number 119
_symmetry_space_group_name_Hall 'I -4 -2'
_cell_length_a 5.0820
_cell_length_b 5.0820
_cell_length_c 10.9357
_cell_angle_alpha 90.00
_cell_angle_beta 90.00
_cell_angle_gamma 90.00
loop_
_atom_site_label
_atom_site_fract_x
_atom_site_fract_y
_atom_site_fract_z
V1 0.0000 0.0000 0.1944
V2 0.0000 0.2566 0.6306
Sn1 0.0000 0.5000 0.1001
H1 0.0000 0.0000 0.5000
H2 0.0000 0.5000 0.7500